The following is a DFT calculation (PBE with a Hubbard U) of a relaxed Ca2FeF crystal.

* N(E_F): 1.799 states/eV/atom
* E: -12.633 eV per formula unit

Cell: 5.1124 5.1124 5.1124 Å, 60.00 60.00 60.00°
Last column: magnetic moment on the atom in μB.
Element x y z (fractional)
Ca 0.2500 0.2500 0.2500  -0.06
Ca 0.7500 0.7500 0.7500  -0.06
Fe 0.5000 0.5000 0.5000  2.98
F 0.0000 0.0000 0.0000  0.01